Entry 1:
This record from Alexandria via LeMat-Bulk describes a relaxed structure of K3Au. The functional is PBEsol.

```
4
Lattice="-2.9707 -3.2746 0.9375 3.1199 -0.6300 -3.2087 7.2685 -4.3275 7.9169" Properties=species:S:1:pos:R:3 pbc="T T T"
K 7.1244 -5.1045 4.7465
K 2.3234 -2.2461 -0.4829
K 3.6342 -2.1638 3.9585
Au 0.0000 0.0000 0.0000
```

Its symmetry is No. 187. For the formation energy from the elements, the calculation gives -0.02 eV/atom. As for the volume: 205.0 Å³/cell.

***

Entry 2:
This record from Alexandria via LeMat-Bulk describes a relaxed structure of TlRh2. The functional is PBEsol.

```
3
Lattice="-2.0499 1.6108 1.3365 -0.8294 -2.3427 1.5514 5.1081 1.7158 2.5555" Properties=species:S:1:pos:R:3 pbc="T T T"
Tl 0.0000 0.0000 0.0000
Rh -0.1497 0.1087 2.8503
Rh 2.3786 0.8752 2.5932
```

Its symmetry is No. 139. For the formation energy from the elements, the calculation gives 0.23 eV/atom. As for the volume: 48.0 Å³/cell.

***

One value per record, in order, for D(E_F): 0.5955 1.5660 states/eV per atom.
One value per record, in order, for ρ: 2.55 14.19 g/cm³.